Entry from Alexandria via LeMat-Bulk: a relaxed DySc2Ag3S6 crystal (PBE).

Cell lengths 6.749, 6.749, 7.807 Å; angles 98.02, 98.02, 119.98 degrees
Positions (direct):
Dy  0.000  0.000  0.000
Sc  0.333  0.667  0.000
Sc  0.667  0.333  0.000
Ag  0.178  0.822  0.500
Ag  0.500  0.500  0.500
Ag  0.822  0.178  0.500
S  0.060  0.711  0.185
S  0.289  0.940  0.815
S  0.408  0.408  0.185
S  0.592  0.592  0.815
S  0.711  0.060  0.185
S  0.940  0.289  0.815

theoretical density = 4314 kg/m³
uncorrected formation energy = -1.2382 eV per atom
volume = 24.65 Å³/atom
crystal system = monoclinic

***

Entry from Alexandria via LeMat-Bulk: a relaxed Dy3ScAg4S8 crystal (PBE).

Cell lengths 8.051, 8.051, 9.053 Å; angles 119.01, 119.01, 59.72 degrees
Positions (direct):
Dy  0.000  0.000  0.000
Dy  0.000  0.500  0.000
Dy  0.500  0.000  0.000
Sc  0.500  0.500  0.000
Ag  0.000  0.000  0.500
Ag  0.000  0.500  0.500
Ag  0.500  0.000  0.500
Ag  0.500  0.500  0.500
S  0.097  0.097  0.811
S  0.113  0.592  0.815
S  0.408  0.408  0.186
S  0.408  0.887  0.185
S  0.592  0.113  0.815
S  0.592  0.592  0.814
S  0.887  0.408  0.185
S  0.903  0.903  0.189

theoretical density = 4824 kg/m³
uncorrected formation energy = -1.2767 eV per atom
volume = 26.25 Å³/atom
crystal system = monoclinic

***

Entry from Alexandria via LeMat-Bulk: a relaxed Dy6AgSe3S2 crystal (PBE).

Cell lengths 9.053, 9.053, 8.245 Å; angles 103.26, 103.26, 25.34 degrees
Positions (direct):
Dy  0.005  0.005  0.256
Dy  0.329  0.329  0.429
Dy  0.331  0.331  0.899
Dy  0.669  0.669  0.101
Dy  0.671  0.671  0.571
Dy  0.995  0.995  0.744
Ag  0.500  0.500  0.000
Se  0.166  0.166  0.832
Se  0.500  0.500  0.500
Se  0.834  0.834  0.168
S  0.169  0.169  0.337
S  0.831  0.831  0.663

theoretical density = 8174 kg/m³
uncorrected formation energy = -1.5613 eV per atom
volume = 23.43 Å³/atom
crystal system = monoclinic

***

Entry from Alexandria via LeMat-Bulk: a relaxed DyAgSn2S4 crystal (PBE).

Cell lengths 6.877, 4.032, 7.144 Å; angles 90.00, 109.30, 90.00 degrees
Positions (direct):
Dy  0.000  0.000  0.000
Ag  0.500  0.500  0.000
Sn  0.000  0.500  0.500
Sn  0.500  0.000  0.500
S  0.235  0.500  0.235
S  0.248  0.000  0.765
S  0.752  0.000  0.235
S  0.765  0.500  0.765

theoretical density = 5649 kg/m³
uncorrected formation energy = -0.7955 eV per atom
volume = 23.37 Å³/atom
crystal system = monoclinic

***

Entry from Alexandria via LeMat-Bulk: a relaxed Dy3Ag3SnS8 crystal (PBE).

Cell lengths 7.786, 7.786, 7.807 Å; angles 118.97, 118.97, 61.15 degrees
Positions (direct):
Dy  0.000  0.000  0.000
Dy  0.000  0.500  0.500
Dy  0.500  0.000  0.500
Ag  0.000  0.500  0.000
Ag  0.500  0.000  0.000
Ag  0.500  0.500  0.500
Sn  0.500  0.500  0.000
S  0.245  0.245  0.257
S  0.264  0.736  0.234
S  0.264  0.736  0.766
S  0.265  0.265  0.763
S  0.735  0.735  0.237
S  0.736  0.264  0.234
S  0.736  0.264  0.766
S  0.755  0.755  0.743

theoretical density = 5748 kg/m³
uncorrected formation energy = -1.0857 eV per atom
volume = 22.85 Å³/atom
crystal system = monoclinic

***

Entry from Alexandria via LeMat-Bulk: a relaxed Dy3Ag4SnS8 crystal (PBE).

Cell lengths 7.713, 7.713, 7.713 Å; angles 62.55, 62.55, 62.55 degrees
Positions (direct):
Dy  0.000  0.500  0.500
Dy  0.500  0.000  0.500
Dy  0.500  0.500  0.000
Ag  0.000  0.000  0.500
Ag  0.000  0.500  0.000
Ag  0.500  0.000  0.000
Ag  0.500  0.500  0.500
Sn  0.000  0.000  0.000
S  0.247  0.247  0.749
S  0.247  0.749  0.247
S  0.251  0.753  0.753
S  0.254  0.254  0.254
S  0.746  0.746  0.746
S  0.749  0.247  0.247
S  0.753  0.251  0.753
S  0.753  0.753  0.251

theoretical density = 6266 kg/m³
uncorrected formation energy = -1.0171 eV per atom
volume = 21.44 Å³/atom
crystal system = trigonal

***

Entry from Alexandria via LeMat-Bulk: a relaxed Sr2DyAg2S4 crystal (PBE).

Cell lengths 8.038, 8.038, 7.654 Å; angles 115.93, 115.93, 28.28 degrees
Positions (direct):
Sr  0.138  0.138  0.075
Sr  0.862  0.862  0.925
Dy  0.000  0.000  0.500
Ag  0.316  0.316  0.495
Ag  0.684  0.684  0.505
S  0.194  0.194  0.753
S  0.491  0.491  0.757
S  0.509  0.509  0.243
S  0.806  0.806  0.247

theoretical density = 5413 kg/m³
uncorrected formation energy = -1.3372 eV per atom
volume = 23.24 Å³/atom
crystal system = monoclinic

***

Entry from Alexandria via LeMat-Bulk: a relaxed Sr3Dy3AgS8 crystal (PBE).

Cell lengths 8.217, 8.217, 8.217 Å; angles 58.74, 58.74, 58.74 degrees
Positions (direct):
Sr  0.000  0.500  0.500
Sr  0.500  0.000  0.500
Sr  0.500  0.500  0.000
Dy  0.000  0.000  0.500
Dy  0.000  0.500  0.000
Dy  0.500  0.000  0.000
Ag  0.500  0.500  0.500
S  0.230  0.749  0.749
S  0.243  0.243  0.243
S  0.251  0.251  0.770
S  0.251  0.770  0.251
S  0.749  0.230  0.749
S  0.749  0.749  0.230
S  0.757  0.757  0.757
S  0.770  0.251  0.251

theoretical density = 4858 kg/m³
uncorrected formation energy = -1.8170 eV per atom
volume = 25.40 Å³/atom
crystal system = trigonal

***

Entry from Alexandria via LeMat-Bulk: a relaxed Sr2DyAgS4 crystal (PBE).

Cell lengths 7.078, 4.127, 7.165 Å; angles 90.00, 110.05, 90.00 degrees
Positions (direct):
Sr  0.000  0.000  0.000
Sr  0.000  0.500  0.500
Dy  0.500  0.000  0.500
Ag  0.500  0.500  0.000
S  0.267  0.500  0.269
S  0.272  0.000  0.747
S  0.728  0.000  0.253
S  0.733  0.500  0.731

theoretical density = 4847 kg/m³
uncorrected formation energy = -1.6695 eV per atom
volume = 24.58 Å³/atom
crystal system = monoclinic

***

Entry from Alexandria via LeMat-Bulk: a relaxed Tb2DyAg3S6 crystal (PBE).

Cell lengths 8.021, 8.021, 9.615 Å; angles 105.33, 105.33, 29.32 degrees
Positions (direct):
Tb  0.164  0.164  0.335
Tb  0.836  0.836  0.665
Dy  0.500  0.500  0.000
Ag  0.176  0.176  0.940
Ag  0.500  0.500  0.500
Ag  0.824  0.824  0.060
S  0.012  0.012  0.811
S  0.318  0.318  0.857
S  0.343  0.343  0.478
S  0.657  0.657  0.522
S  0.682  0.682  0.143
S  0.988  0.988  0.189

theoretical density = 5678 kg/m³
uncorrected formation energy = -1.3059 eV per atom
volume = 24.28 Å³/atom
crystal system = monoclinic

***

Entry from Alexandria via LeMat-Bulk: a relaxed Dy3Ag3TeS8 crystal (PBE).

Cell lengths 7.775, 7.775, 7.797 Å; angles 118.40, 118.40, 61.71 degrees
Positions (direct):
Dy  0.000  0.000  0.000
Dy  0.000  0.500  0.500
Dy  0.500  0.000  0.500
Ag  0.000  0.500  0.000
Ag  0.500  0.000  0.000
Ag  0.500  0.500  0.500
Te  0.500  0.500  0.000
S  0.246  0.246  0.256
S  0.256  0.740  0.761
S  0.260  0.260  0.754
S  0.260  0.744  0.239
S  0.740  0.256  0.761
S  0.740  0.740  0.246
S  0.744  0.260  0.239
S  0.754  0.754  0.744

theoretical density = 5744 kg/m³
uncorrected formation energy = -1.0094 eV per atom
volume = 23.04 Å³/atom
crystal system = monoclinic

***

Entry from Alexandria via LeMat-Bulk: a relaxed DyAg2TeS4 crystal (PBE).

Cell lengths 7.918, 7.918, 7.950 Å; angles 120.00, 120.00, 82.38 degrees
Positions (direct):
Dy  0.000  0.000  0.000
Dy  0.000  0.000  0.500
Ag  0.000  0.500  0.000
Ag  0.500  0.000  0.500
Ag  0.500  0.500  0.000
Ag  0.500  0.500  0.500
Te  0.000  0.500  0.500
Te  0.500  0.000  0.000
S  0.209  0.680  0.947
S  0.210  0.215  0.961
S  0.215  0.210  0.461
S  0.320  0.791  0.553
S  0.680  0.209  0.447
S  0.785  0.790  0.539
S  0.790  0.785  0.039
S  0.791  0.320  0.053

theoretical density = 5704 kg/m³
uncorrected formation energy = -0.5726 eV per atom
volume = 23.08 Å³/atom
crystal system = monoclinic

***

Entry from Alexandria via LeMat-Bulk: a relaxed Dy2AgTeS3 crystal (PBE).

Cell lengths 8.118, 8.118, 8.118 Å; angles 60.05, 60.05, 60.05 degrees
Positions (direct):
Dy  0.000  0.000  0.000
Dy  0.000  0.000  0.500
Dy  0.000  0.500  0.000
Dy  0.500  0.000  0.000
Ag  0.406  0.406  0.406
Ag  0.594  0.594  0.594
Te  0.265  0.265  0.265
Te  0.735  0.735  0.735
S  0.214  0.759  0.759
S  0.241  0.241  0.786
S  0.241  0.786  0.241
S  0.759  0.214  0.759
S  0.759  0.759  0.214
S  0.786  0.241  0.241

theoretical density = 5759 kg/m³
uncorrected formation energy = -1.2850 eV per atom
volume = 27.05 Å³/atom
crystal system = trigonal

***

Entry from Alexandria via LeMat-Bulk: a relaxed Dy3TiAg3S8 crystal (PBE).

Cell lengths 7.773, 7.773, 7.806 Å; angles 119.80, 119.80, 60.34 degrees
Positions (direct):
Dy  0.000  0.000  0.000
Dy  0.000  0.500  0.500
Dy  0.500  0.000  0.500
Ti  0.500  0.500  0.000
Ag  0.000  0.500  0.000
Ag  0.500  0.000  0.000
Ag  0.500  0.500  0.500
S  0.248  0.248  0.254
S  0.270  0.727  0.775
S  0.273  0.273  0.768
S  0.273  0.730  0.225
S  0.727  0.270  0.775
S  0.727  0.727  0.232
S  0.730  0.273  0.225
S  0.752  0.752  0.746

theoretical density = 5524 kg/m³
uncorrected formation energy = -1.2463 eV per atom
volume = 22.36 Å³/atom
crystal system = monoclinic

***

Entry from Alexandria via LeMat-Bulk: a relaxed Dy2TiAg2S6 crystal (PBE).

Cell lengths 6.625, 6.625, 6.837 Å; angles 101.56, 101.56, 119.07 degrees
Positions (direct):
Dy  0.167  0.833  0.000
Dy  0.833  0.167  0.000
Ti  0.500  0.500  0.000
Ag  0.317  0.683  0.500
Ag  0.683  0.317  0.500
S  0.101  0.407  0.771
S  0.293  0.293  0.229
S  0.407  0.101  0.771
S  0.593  0.899  0.229
S  0.707  0.707  0.771
S  0.899  0.593  0.229

theoretical density = 5383 kg/m³
uncorrected formation energy = -1.2336 eV per atom
volume = 21.90 Å³/atom
crystal system = monoclinic

***

Entry from Alexandria via LeMat-Bulk: a relaxed Dy2TlAgS4 crystal (PBE).

Cell lengths 7.042, 7.042, 14.354 Å; angles 90.00, 90.00, 146.71 degrees
Positions (direct):
Dy  0.131  0.869  0.566
Dy  0.131  0.869  0.934
Dy  0.869  0.131  0.066
Dy  0.869  0.131  0.434
Tl  0.386  0.614  0.750
Tl  0.614  0.386  0.250
Ag  0.329  0.671  0.250
Ag  0.671  0.329  0.750
S  0.059  0.941  0.750
S  0.237  0.763  0.099
S  0.237  0.763  0.401
S  0.500  0.500  0.000
S  0.500  0.500  0.500
S  0.763  0.237  0.599
S  0.763  0.237  0.901
S  0.941  0.059  0.250

theoretical density = 6508 kg/m³
uncorrected formation energy = -1.3794 eV per atom
volume = 24.41 Å³/atom
crystal system = orthorhombic

***

Entry from Alexandria via LeMat-Bulk: a relaxed DyTm4AgS8 crystal (PBE).

Cell lengths 7.962, 7.962, 7.962 Å; angles 59.74, 59.74, 59.74 degrees
Positions (direct):
Dy  0.000  0.000  0.000
Tm  0.000  0.000  0.518
Tm  0.000  0.518  0.000
Tm  0.379  0.379  0.379
Tm  0.518  0.000  0.000
Ag  0.630  0.630  0.630
S  0.231  0.761  0.761
S  0.246  0.246  0.246
S  0.248  0.248  0.778
S  0.248  0.778  0.248
S  0.761  0.231  0.761
S  0.761  0.761  0.231
S  0.763  0.763  0.763
S  0.778  0.248  0.248

theoretical density = 5630 kg/m³
uncorrected formation energy = -1.8319 eV per atom
volume = 25.34 Å³/atom
crystal system = trigonal

***

Entry from Alexandria via LeMat-Bulk: a relaxed DyTmAg2S4 crystal (PBE).

Cell lengths 6.569, 3.998, 6.913 Å; angles 90.00, 109.73, 90.00 degrees
Positions (direct):
Dy  0.000  0.000  0.000
Tm  0.000  0.500  0.500
Ag  0.500  0.000  0.500
Ag  0.500  0.500  0.000
S  0.237  0.000  0.740
S  0.238  0.500  0.246
S  0.762  0.500  0.754
S  0.763  0.000  0.260

theoretical density = 6564 kg/m³
uncorrected formation energy = -1.2812 eV per atom
volume = 21.36 Å³/atom
crystal system = monoclinic

***

Entry from Alexandria via LeMat-Bulk: a relaxed Dy2TmAg3S6 crystal (PBE).

Cell lengths 8.063, 8.063, 9.636 Å; angles 105.93, 105.93, 28.81 degrees
Positions (direct):
Dy  0.164  0.164  0.329
Dy  0.836  0.836  0.671
Tm  0.500  0.500  0.000
Ag  0.163  0.163  0.789
Ag  0.500  0.500  0.500
Ag  0.837  0.837  0.211
S  0.013  0.013  0.816
S  0.325  0.325  0.856
S  0.343  0.343  0.474
S  0.657  0.657  0.526
S  0.675  0.675  0.144
S  0.987  0.987  0.184

theoretical density = 5793 kg/m³
uncorrected formation energy = -1.2997 eV per atom
volume = 24.12 Å³/atom
crystal system = monoclinic

***

Entry from Alexandria via LeMat-Bulk: a relaxed DyTm2Ag3S6 crystal (PBE).

Cell lengths 8.003, 8.003, 9.604 Å; angles 106.49, 106.49, 28.94 degrees
Positions (direct):
Dy  0.000  0.000  0.000
Tm  0.334  0.334  0.665
Tm  0.666  0.666  0.335
Ag  0.000  0.000  0.500
Ag  0.324  0.324  0.066
Ag  0.676  0.676  0.934
S  0.157  0.157  0.517
S  0.184  0.184  0.147
S  0.490  0.490  0.192
S  0.510  0.510  0.808
S  0.816  0.816  0.853
S  0.843  0.843  0.483

theoretical density = 5931 kg/m³
uncorrected formation energy = -1.3061 eV per atom
volume = 23.71 Å³/atom
crystal system = monoclinic